LiFeTcRu2 (PBE, relaxed); E = -6.056 eV per atom; density of states at the Fermi level = 1.894 states/eV/atom; ΔE_f = 1.80 eV per atom
1.0
4.557 0.000 0.000
0.000 4.557 0.000
0.000 0.000 4.365
Li Fe Tc Ru
1 1 1 2
direct
0.000 0.000 0.000
0.500 0.500 0.000
0.000 0.000 0.500
0.000 0.500 0.500
0.500 0.000 0.500